[1]
This record from Alexandria via LeMat-Bulk describes CsCoF2 after structural relaxation. The functional is PBE with a Hubbard U.

a b c (Å): 4.7935 4.7935 4.7935
angles (deg): 60.00 60.00 60.00
With the nearest neighbours (Å) after each atom.
Element x y z (fractional)
1 Cs 0.5000 0.5000 0.5000  8 F 2.94
2 Co 0.0000 0.0000 0.0000  8 F 2.94
3 F 0.2500 0.2500 0.2500  4 Co 2.94, 4 Cs 2.94
4 F 0.7500 0.7500 0.7500  4 Co 2.94, 4 Cs 2.94

## Properties
SG: Fm-3m
N(E_F): 13.30 states/eV per cell
Energy relative to the lowest polymorph listed for this composition: 0.797 eV/atom

[2]
This record from Alexandria via LeMat-Bulk describes Cs2CoF7 after structural relaxation. The functional is PBE with a Hubbard U.

a b c (Å): 6.1779 9.2313 7.9914
angles (deg): 81.47 67.26 70.45
With the nearest neighbours (Å) after each atom.
Element x y z (fractional)
1 Cs 0.6361 0.9391 0.7358  7 F 2.98-3.31
2 Cs 0.6891 0.4391 0.2358  7 F 2.98-3.31
3 Cs 0.3109 0.5609 0.7642  7 F 2.98-3.31
4 Cs 0.3639 0.0609 0.2642  7 F 2.98-3.31
5 Co 0.9950 0.2500 0.7500  7 F 1.85-2.02
6 Co 0.0050 0.7500 0.2500  7 F 1.85-2.02
7 F 0.8491 0.4535 0.8172  1 Co 1.85
8 F 0.8803 0.9535 0.3172  1 Co 1.85
9 F 0.2272 0.8112 0.0092  1 Co 2.02, 1 F 2.18
10 F 0.3006 0.2821 0.5860  1 Co 1.93
11 F 0.6735 0.2500 0.7500  1 Co 1.99, 2 F 2.18
12 F 0.9525 0.3112 0.5092  1 Co 2.02, 1 F 2.18
13 F 0.1688 0.2179 0.9140  1 Co 1.93
14 F 0.8312 0.7821 0.0860  1 Co 1.93
15 F 0.0475 0.6888 0.4908  1 Co 2.02, 1 F 2.18
16 F 0.3265 0.7500 0.2500  1 Co 1.99, 2 F 2.18
17 F 0.6994 0.7179 0.4140  1 Co 1.93
18 F 0.7728 0.1888 0.9908  1 Co 2.02, 1 F 2.18
19 F 0.1197 0.0465 0.6828  1 Co 1.85
20 F 0.1509 0.5465 0.1828  1 Co 1.85

## Properties
SG: C2/c
Total energy: -0.1446 hartree per atom

[3]
This record from Alexandria via LeMat-Bulk describes CsCoF4 after structural relaxation. The functional is PBE with a Hubbard U.

a b c (Å): 5.6382 5.5406 7.5713
angles (deg): 112.43 111.85 90.01
With the nearest neighbours (Å) after each atom.
Element x y z (fractional)
1 Cs 0.7628 0.7499 0.9998  10 F 3.04-3.39
2 Cs 0.2372 0.2501 0.0002  10 F 3.04-3.39
3 Co 0.5000 0.0000 0.5000  4 F 1.82-1.87
4 Co 0.0000 0.5000 0.5000  4 F 1.82-1.87
5 F 0.6068 0.1343 0.7825  1 Co 1.82
6 F 0.8245 0.3656 0.2175  1 Co 1.82
7 F 0.3932 0.8657 0.2175  1 Co 1.82
8 F 0.1755 0.6344 0.7825  1 Co 1.82
9 F 0.8214 0.7867 0.5333  1 Co 1.87
10 F 0.2880 0.7132 0.4665  1 Co 1.87
11 F 0.1786 0.2133 0.4667  1 Co 1.87
12 F 0.7120 0.2868 0.5335  1 Co 1.87

## Properties
SG: C2/c
Total energy: -0.1640 hartree per atom

[4]
This record from Alexandria via LeMat-Bulk describes CsCoF5 after structural relaxation. The functional is PBE with a Hubbard U.

a b c (Å): 5.9276 5.9276 8.2970
angles (deg): 95.66 111.96 109.78
With the nearest neighbours (Å) after each atom.
Element x y z (fractional)
1 Cs 0.7508 0.5008 0.2500  14 F 3.15-3.47
2 Cs 0.2492 0.4992 0.7500  14 F 3.15-3.47
3 Co 0.0000 0.0000 0.0000  4 F 1.77-1.79
4 Co 0.5000 0.0000 0.5000  4 F 1.77-1.79
5 F 0.7337 0.9441 0.0654  1 Co 1.79
6 F 0.2514 0.9676 0.5761  1 Co 1.77
7 F 0.6213 0.3317 0.5654  1 Co 1.79
8 F 0.2414 0.9914 0.2500  2 Co 2.05
9 F 0.8914 0.6752 0.9239  1 Co 1.77
10 F 0.1086 0.3248 0.0761  1 Co 1.77
11 F 0.7586 0.0086 0.7500  2 Co 2.05
12 F 0.3787 0.6683 0.4346  1 Co 1.79
13 F 0.7486 0.0324 0.4239  1 Co 1.77
14 F 0.2663 0.0559 0.9346  1 Co 1.79

## Properties
SG: C2/c
Total energy: -0.1541 hartree per atom

[5]
This record from Alexandria via LeMat-Bulk describes Cs3CoF5 after structural relaxation. The functional is PBE with a Hubbard U.

a b c (Å): 8.1299 8.1299 8.6458
angles (deg): 118.04 118.04 90.00
With the nearest neighbours (Å) after each atom.
Element x y z (fractional)
1 Cs 0.6796 0.1796 0.0000  8 F 2.97-3.28
2 Cs 0.3204 0.8204 0.0000  8 F 2.97-3.28
3 Cs 0.8204 0.6796 0.0000  8 F 2.97-3.28
4 Cs 0.1796 0.3204 0.0000  8 F 2.97-3.28
5 Cs 0.2500 0.2500 0.5000  10 F 3.23-3.39
6 Cs 0.7500 0.7500 0.5000  10 F 3.23-3.39
7 Co 0.7500 0.2500 0.5000  4 F 1.93
8 Co 0.2500 0.7500 0.5000  4 F 1.93
9 F 0.9746 0.4746 0.6836  1 Co 1.93
10 F 0.7090 0.2090 0.6836  1 Co 1.93
11 F 0.2090 0.9746 0.6836  1 Co 1.93
12 F 0.4746 0.7090 0.6836  1 Co 1.93
13 F 0.0254 0.5254 0.3164  1 Co 1.93
14 F 0.2910 0.7910 0.3164  1 Co 1.93
15 F 0.7910 0.0254 0.3164  1 Co 1.93
16 F 0.5254 0.2910 0.3164  1 Co 1.93
17 F 0.5000 0.5000 0.0000  6 Cs 2.99-3.23
18 F 0.0000 0.0000 0.0000  6 Cs 2.99-3.23

## Properties
SG: I4/mcm
N(E_F): 0.00 states/eV per cell
Total energy: -0.1623 hartree per atom

[6]
This record from Alexandria via LeMat-Bulk describes CsFeCo2F8 after structural relaxation. The functional is PBE with a Hubbard U.

a b c (Å): 5.2694 5.2796 7.3953
angles (deg): 98.41 101.53 70.67
With the nearest neighbours (Å) after each atom.
Element x y z (fractional)
1 Cs 0.0000 0.0000 0.5000  8 F 2.84-3.18
2 Fe 0.0000 0.0000 0.0000  6 F 1.89-1.95
3 Co 0.5843 0.5899 0.7240  5 F 1.97-2.13
4 Co 0.4157 0.4101 0.2760  5 F 1.97-2.13
5 F 0.1078 0.7053 0.1551  1 Fe 1.93, 1 Co 2.00
6 F 0.7111 0.8904 0.8543  1 Fe 1.89, 1 Co 1.97
7 F 0.7558 0.2515 0.1588  1 Fe 1.95, 1 Co 2.02
8 F 0.8922 0.2947 0.8449  1 Fe 1.93, 1 Co 2.00
9 F 0.2889 0.1096 0.1457  1 Fe 1.89, 1 Co 1.97
10 F 0.2442 0.7485 0.8412  1 Fe 1.95, 1 Co 2.02
11 F 0.6136 0.6542 0.4687  2 Co 2.01-2.13
12 F 0.3864 0.3458 0.5313  2 Co 2.01-2.13

## Properties
SG: P-1
N(E_F): 0.00 states/eV per cell
Total energy: -0.1736 hartree per atom